[1]
First-principles (PBEsol) data for Sc3As after structural relaxation, as listed in Alexandria.

Cell lengths 5.735, 6.864, 8.499 Å; angles 90.00, 90.00, 90.00 degrees
Fractional coordinates of all 16 atoms:
Sc1 0.369 0.523 0.750
Sc2 0.131 0.023 0.750
Sc3 0.631 0.477 0.250
Sc4 0.856 0.681 0.546
Sc5 0.644 0.181 0.546
Sc6 0.356 0.819 0.046
Sc7 0.869 0.977 0.250
Sc8 0.144 0.319 0.454
Sc9 0.856 0.681 0.954
As1 0.580 0.879 0.750
Sc10 0.356 0.819 0.454
As2 0.080 0.621 0.250
As3 0.420 0.121 0.250
Sc11 0.144 0.319 0.046
Sc12 0.644 0.181 0.954
As4 0.920 0.379 0.750

Summary:
- VASP energy (eV per atom) = -6.9956


[2]
First-principles (PBEsol) data for TiNb3Fe after structural relaxation, as listed in Alexandria.

Cell lengths 4.596, 4.596, 4.596 Å; angles 90.00, 90.00, 90.00 degrees
Each line ends with the local moment (μB).
Fractional coordinates of all 5 atoms:
Fe1 0.500 0.500 0.500  3.12
Nb1 0.000 0.500 0.000  -0.02
Ti1 0.000 0.000 0.000  0.01
Nb2 0.000 0.000 0.500  -0.02
Nb3 0.500 0.000 0.000  -0.02

Summary:
- VASP energy (eV per atom) = -8.4287


Number 1: energy of formation -765 meV per atom. Number 2: energy of formation 1521 meV per atom.